No. 1
Computed, not measured: a geometry-optimized La2ZnAs4Pd3 structure at the PBE-GGA level of DFT.

Geometry as POSCAR:
```
La2ZnAs4Pd3
1.0
4.4892 0.0000 0.0000
0.0000 4.4892 0.0000
0.0000 0.0000 10.0327
La Zn As Pd
2 1 4 3
Direct
0.0000 0.5000 0.2431
0.5000 0.0000 0.7569
0.0000 0.0000 0.5000
0.0000 0.0000 0.0000
0.0000 0.5000 0.6335
0.5000 0.0000 0.3665
0.5000 0.5000 0.0000
0.0000 0.5000 0.8817
0.5000 0.0000 0.1183
0.5000 0.5000 0.5000
```

The crystal system is tetragonal. Its uncorrected energy is -5.389 eV/atom. As for the formation enthalpy at 0 K: -0.86 eV/atom.



No. 2
Computed, not measured: a geometry-optimized Ho2RuO structure at the PBE-GGA level of DFT.

Geometry as POSCAR:
```
Ho2RuO
1.0
1.7006 0.9818 7.0274
-1.7006 0.9818 7.0274
0.0000 -1.9637 7.0274
Ho Ru O
2 1 1
Direct
0.2379 0.2379 0.2379
0.7621 0.7621 0.7621
0.0000 0.0000 0.0000
0.5000 0.5000 0.5000
```

The crystal system is trigonal. Its distance to the lowest polymorph of the same formula is 0.0000 eV/atom. Its uncorrected energy is -7.312 eV/atom. As for the uncorrected formation energy: -1.465 eV/atom.



No. 3
Computed, not measured: a geometry-optimized ZrTi2Pt structure at the PBE-GGA level of DFT.

Geometry as POSCAR:
```
ZrTi2Pt
1.0
0.0000 3.2369 3.2369
3.2369 0.0000 3.2369
3.2369 3.2369 0.0000
Zr Ti Pt
1 2 1
Direct
0.0000 0.0000 0.0000
0.2500 0.2500 0.2500
0.7500 0.7500 0.7500
0.5000 0.5000 0.5000
```

The crystal system is cubic. Its distance to the lowest polymorph of the same formula is 0.0447 eV/atom. Its uncorrected energy is -8.036 eV/atom. As for the formation enthalpy at 0 K: -0.44 eV/atom.